BeAlOs2 after structural relaxation, computed with GGA-PBEsol.

The structure in extended XYZ format:
```
4
Lattice="-0.992 -0.919 2.602 -2.392 -2.626 -1.839 4.801 -1.163 -0.234" Properties=species:S:1:pos:R:3 pbc="T T T"
Al -1.682 -1.781 0.382
Be 0.431 -2.849 -0.842
Os 1.021 -1.892 1.373
Os 1.372 -4.666 0.527
```

Computed properties:
formation energy from the elements = -0.091 eV per atom
space-group type = Imm2 (44)

***

ZrCrCo after structural relaxation, computed with GGA-PBEsol.

The structure in extended XYZ format:
```
12
Lattice="4.785 -0.001 0.000 -2.268 4.214 0.000 0.000 0.000 8.206" Properties=species:S:1:pos:R:3 pbc="T T T"
Co 2.533 2.758 4.103
Zr 0.065 2.819 2.602
Cr -1.081 3.504 0.000
Cr 3.675 0.662 4.103
Co 4.749 0.020 6.101
Zr 2.412 1.417 1.562
Co 4.749 0.020 2.105
Co 1.288 0.675 4.103
Zr 0.065 2.819 5.603
Cr 0.019 1.431 0.000
Cr 1.266 3.518 0.000
Zr 2.412 1.417 6.644
```

Computed properties:
formation energy from the elements = -0.196 eV per atom
space-group type = Amm2 (38)
relative energy among the computed polymorphs = 0 meV/atom

***

BaLaRh after structural relaxation, computed with GGA-PBEsol.

The structure in extended XYZ format:
```
3
Lattice="-0.119 -4.222 -2.811 1.132 -4.478 2.099 -3.649 -3.445 0.750" Properties=species:S:1:pos:R:3 pbc="T T T"
Ba 0.000 0.000 0.000
Rh -0.659 -3.036 0.009
La -1.318 -6.072 0.019
```

Computed properties:
formation energy from the elements = -0.172 eV per atom
space-group type = F-43m (216)
relative energy among the computed polymorphs = 0 meV/atom

***

SiSbPt3 after structural relaxation, computed with GGA-PBEsol.

The structure in extended XYZ format:
```
5
Lattice="4.864 0.000 0.000 0.000 4.864 0.000 0.000 0.000 4.864" Properties=species:S:1:pos:R:3 pbc="T T T"
Pt 2.432 0.000 0.000
Si 2.432 2.432 2.432
Pt 0.000 2.432 0.000
Sb 0.000 0.000 0.000
Pt 0.000 0.000 2.432
```

Computed properties:
formation energy from raw total energies = 104.4 kJ/mol of atoms
space-group type = Pm-3m (221)

***

Number 1: ρ 13.78 g/cm3, DFT total energy -8.222 eV per atom. Number 2: ρ 8.12 g/cm3, DFT total energy -9.219 eV per atom. Number 3: ρ 6.82 g/cm3, DFT total energy -5.383 eV per atom. Number 4: ρ 10.61 g/cm3, DFT total energy -5.157 eV per atom.